Record 1
# PBE-GGA LaYCdPt2, optimized geometry
# Density of states at the Fermi level ... 4.52 states/eV per cell
# Size of the total moment ... 0.00 μB/f.u.
# Energy of formation ... 0.48 eV per atom
# Uncorrected energy ... -4.40 eV/atom
data_LaYCdPt2
_cell_length_a 5.142
_cell_length_b 5.142
_cell_length_c 5.828
_cell_angle_alpha 90.00
_cell_angle_beta 90.00
_cell_angle_gamma 90.00
_symmetry_space_group_name_H-M 'P 4/m m m'
_symmetry_Int_Tables_number 123
_symmetry_space_group_name_Hall '-P 4 2'
loop_
_atom_site_label
_atom_site_type_symbol
_atom_site_fract_x
_atom_site_fract_y
_atom_site_fract_z
_atom_site_occupancy
La1 La 0.000 0.000 0.000 1
Y1 Y 0.000 0.000 0.500 1
Cd1 Cd 0.500 0.500 0.000 1
Pt1 Pt 0.000 0.500 0.500 1


Record 2
# PBE-GGA La2Zn2CdPt5, optimized geometry
# Density of states at the Fermi level ... 8.30 states/eV per cell
# Size of the total moment ... 0.00 μB/f.u.
# Energy of formation ... -0.75 eV per atom
# Uncorrected energy ... -5.10 eV/atom
data_La2Zn2CdPt5
_cell_length_a 9.962
_cell_length_b 9.962
_cell_length_c 3.859
_cell_angle_alpha 90.00
_cell_angle_beta 90.00
_cell_angle_gamma 90.00
_symmetry_space_group_name_H-M 'P 4/m b m'
_symmetry_Int_Tables_number 127
_symmetry_space_group_name_Hall '-P 4 2ab'
loop_
_atom_site_label
_atom_site_type_symbol
_atom_site_fract_x
_atom_site_fract_y
_atom_site_fract_z
_atom_site_occupancy
La1 La 0.179 0.321 0.000 1
Zn1 Zn 0.119 0.619 0.000 1
Cd1 Cd 0.000 0.000 0.000 1
Pt1 Pt 0.000 0.500 0.500 1
Pt2 Pt 0.063 0.790 0.500 1


Record 3
# PBE-GGA La2ZnCdPt, optimized geometry
# Density of states at the Fermi level ... 8.49 states/eV per cell
# Size of the total moment ... 0.00 μB/f.u.
# Energy of formation ... -0.64 eV per atom
# Uncorrected energy ... -4.26 eV/atom
data_La2ZnCdPt
_cell_length_a 7.494
_cell_length_b 4.702
_cell_length_c 7.842
_cell_angle_alpha 90.00
_cell_angle_beta 108.85
_cell_angle_gamma 90.00
_symmetry_space_group_name_H-M 'P 1 21/m 1'
_symmetry_Int_Tables_number 11
_symmetry_space_group_name_Hall '-P 2yb'
loop_
_atom_site_label
_atom_site_type_symbol
_atom_site_fract_x
_atom_site_fract_y
_atom_site_fract_z
_atom_site_occupancy
La1 La 0.139 0.250 0.341 1
La2 La 0.287 0.250 0.944 1
Zn1 Zn 0.449 0.750 0.322 1
Cd1 Cd 0.340 0.750 0.650 1
Pt1 Pt 0.117 0.750 0.081 1


Record 4
# PBE-GGA La2Zn3CdPt4, optimized geometry
# Density of states at the Fermi level ... 5.11 states/eV per cell
# Size of the total moment ... 0.00 μB/f.u.
# Energy of formation ... -0.76 eV per atom
# Uncorrected energy ... -4.63 eV/atom
data_La2Zn3CdPt4
_cell_length_a 4.204
_cell_length_b 4.204
_cell_length_c 11.469
_cell_angle_alpha 90.00
_cell_angle_beta 90.00
_cell_angle_gamma 90.00
_symmetry_space_group_name_H-M 'P -4 m 2'
_symmetry_Int_Tables_number 115
_symmetry_space_group_name_Hall 'P -4 -2'
loop_
_atom_site_label
_atom_site_type_symbol
_atom_site_fract_x
_atom_site_fract_y
_atom_site_fract_z
_atom_site_occupancy
La1 La 0.000 0.500 0.238 1
Zn1 Zn 0.000 0.500 0.875 1
Zn2 Zn 0.500 0.500 0.500 1
Cd1 Cd 0.000 0.000 0.500 1
Pt1 Pt 0.000 0.000 0.000 1
Pt2 Pt 0.000 0.500 0.656 1
Pt3 Pt 0.500 0.500 0.000 1


Record 5
# PBE-GGA La2ZnCdPt6, optimized geometry
# Density of states at the Fermi level ... 10.14 states/eV per cell
# Size of the total moment ... 0.00 μB/f.u.
# Energy of formation ... -0.71 eV per atom
# Uncorrected energy ... -5.54 eV/atom
data_La2ZnCdPt6
_cell_length_a 5.6473
_cell_length_b 5.6473
_cell_length_c 25.4925
_cell_angle_alpha 90.00
_cell_angle_beta 90.00
_cell_angle_gamma 120.00
_symmetry_space_group_name_H-M 'R -3 m'
_symmetry_Int_Tables_number 166
_symmetry_space_group_name_Hall '-R 3 2"'
loop_
_atom_site_label
_atom_site_type_symbol
_atom_site_fract_x
_atom_site_fract_y
_atom_site_fract_z
_atom_site_occupancy
La1 La 0.0000 0.0000 0.2041 1
Zn1 Zn 0.0000 0.0000 0.5000 1
Cd1 Cd 0.0000 0.0000 0.0000 1
Pt1 Pt 0.0025 0.5012 0.7568 1


Record 6
# PBE-GGA LaZn2Cd2Pt, optimized geometry
# Density of states at the Fermi level ... 7.93 states/eV per cell
# Size of the total moment ... 0.00 μB/f.u.
# Energy of formation ... -0.28 eV per atom
# Uncorrected energy ... -2.83 eV/atom
data_LaZn2Cd2Pt
_cell_length_a 4.172
_cell_length_b 4.172
_cell_length_c 17.535
_cell_angle_alpha 90.00
_cell_angle_beta 90.00
_cell_angle_gamma 90.00
_symmetry_space_group_name_H-M 'I 4/m m m'
_symmetry_Int_Tables_number 139
_symmetry_space_group_name_Hall '-I 4 2'
loop_
_atom_site_label
_atom_site_type_symbol
_atom_site_fract_x
_atom_site_fract_y
_atom_site_fract_z
_atom_site_occupancy
La1 La 0.000 0.000 0.000 1
Zn1 Zn 0.000 0.000 0.359 1
Cd1 Cd 0.000 0.500 0.250 1
Pt1 Pt 0.000 0.000 0.500 1


Record 7
# PBE-GGA LaPu2Cd, optimized geometry
# Density of states at the Fermi level ... 13.24 states/eV per cell
# Size of the total moment ... 12.78 μB/f.u.
# Energy of formation ... 0.06 eV per atom
# Uncorrected energy ... -8.57 eV/atom
data_LaPu2Cd
_cell_length_a 4.667
_cell_length_b 4.667
_cell_length_c 5.227
_cell_angle_alpha 90.00
_cell_angle_beta 90.00
_cell_angle_gamma 90.00
_symmetry_space_group_name_H-M 'P 4/m m m'
_symmetry_Int_Tables_number 123
_symmetry_space_group_name_Hall '-P 4 2'
loop_
_atom_site_label
_atom_site_type_symbol
_atom_site_fract_x
_atom_site_fract_y
_atom_site_fract_z
_atom_site_occupancy
La1 La 0.000 0.000 0.000 1
Pu1 Pu 0.000 0.500 0.500 1
Cd1 Cd 0.500 0.500 0.000 1


Record 8
# PBE-GGA LaPuCd4, optimized geometry
# Density of states at the Fermi level ... 48.38 states/eV per cell
# Size of the total moment ... 6.19 μB/f.u.
# Polymorph energy (0 for the lowest one) ... 0.000 eV per atom
# Energy of formation ... -0.23 eV per atom
# Uncorrected energy ... -4.05 eV/atom
data_LaPuCd4
_cell_length_a 6.615
_cell_length_b 17.904
_cell_length_c 5.166
_cell_angle_alpha 90.00
_cell_angle_beta 90.00
_cell_angle_gamma 90.00
_symmetry_space_group_name_H-M 'C m c m'
_symmetry_Int_Tables_number 63
_symmetry_space_group_name_Hall '-C 2c 2'
loop_
_atom_site_label
_atom_site_type_symbol
_atom_site_fract_x
_atom_site_fract_y
_atom_site_fract_z
_atom_site_occupancy
La1 La 0.000 0.122 0.250 1
Pu1 Pu 0.000 0.372 0.750 1
Cd1 Cd 0.237 0.458 0.250 1
Cd2 Cd 0.247 0.292 0.250 1


Record 9
# PBE-GGA LaPuCd4, optimized geometry
# Density of states at the Fermi level ... 60.50 states/eV per cell
# Size of the total moment ... 5.76 μB/f.u.
# Polymorph energy (0 for the lowest one) ... 0.065 eV per atom
# Energy of formation ... -0.16 eV per atom
# Uncorrected energy ... -3.98 eV/atom
data_LaPuCd4
_cell_length_a 8.519
_cell_length_b 8.519
_cell_length_c 8.519
_cell_angle_alpha 90.00
_cell_angle_beta 90.00
_cell_angle_gamma 90.00
_symmetry_space_group_name_H-M 'F -4 3 m'
_symmetry_Int_Tables_number 216
_symmetry_space_group_name_Hall 'F -4 2 3'
loop_
_atom_site_label
_atom_site_type_symbol
_atom_site_fract_x
_atom_site_fract_y
_atom_site_fract_z
_atom_site_occupancy
La1 La 0.000 0.000 0.000 1
Pu1 Pu 0.250 0.250 0.750 1
Cd1 Cd 0.125 0.125 0.375 1


Record 10
# PBE-GGA LaPuCd, optimized geometry
# Density of states at the Fermi level ... 15.91 states/eV per cell
# Size of the total moment ... 6.23 μB/f.u.
# Energy of formation ... 0.00 eV per atom
# Uncorrected energy ... -6.72 eV/atom
data_LaPuCd
_cell_length_a 3.513
_cell_length_b 3.513
_cell_length_c 14.311
_cell_angle_alpha 90.00
_cell_angle_beta 90.00
_cell_angle_gamma 90.00
_symmetry_space_group_name_H-M 'I 4 m m'
_symmetry_Int_Tables_number 107
_symmetry_space_group_name_Hall 'I 4 -2'
loop_
_atom_site_label
_atom_site_type_symbol
_atom_site_fract_x
_atom_site_fract_y
_atom_site_fract_z
_atom_site_occupancy
La1 La 0.000 0.000 0.000 1
Pu1 Pu 0.000 0.000 0.682 1
Cd1 Cd 0.000 0.000 0.335 1


Record 11
# PBE-GGA LaPuCdRh, optimized geometry
# Density of states at the Fermi level ... 43.55 states/eV per cell
# Size of the total moment ... 5.60 μB/f.u.
# Energy of formation ... -0.23 eV per atom
# Uncorrected energy ... -7.11 eV/atom
data_LaPuCdRh
_cell_length_a 7.351
_cell_length_b 7.351
_cell_length_c 7.351
_cell_angle_alpha 90.00
_cell_angle_beta 90.00
_cell_angle_gamma 90.00
_symmetry_space_group_name_H-M 'F -4 3 m'
_symmetry_Int_Tables_number 216
_symmetry_space_group_name_Hall 'F -4 2 3'
loop_
_atom_site_label
_atom_site_type_symbol
_atom_site_fract_x
_atom_site_fract_y
_atom_site_fract_z
_atom_site_occupancy
La1 La 0.000 0.000 0.000 1
Pu1 Pu 0.000 0.000 0.500 1
Cd1 Cd 0.250 0.250 0.250 1
Rh1 Rh 0.250 0.250 0.750 1


Record 12
# PBE-GGA LaPuCdSi, optimized geometry
# Density of states at the Fermi level ... 41.64 states/eV per cell
# Size of the total moment ... 6.52 μB/f.u.
# Uncorrected energy ... -6.62 eV/atom
data_LaPuCdSi
_cell_length_a 7.463
_cell_length_b 7.463
_cell_length_c 7.463
_cell_angle_alpha 90.00
_cell_angle_beta 90.00
_cell_angle_gamma 90.00
_symmetry_space_group_name_H-M 'F -4 3 m'
_symmetry_Int_Tables_number 216
_symmetry_space_group_name_Hall 'F -4 2 3'
loop_
_atom_site_label
_atom_site_type_symbol
_atom_site_fract_x
_atom_site_fract_y
_atom_site_fract_z
_atom_site_occupancy
La1 La 0.000 0.000 0.000 1
Pu1 Pu 0.000 0.000 0.500 1
Cd1 Cd 0.250 0.250 0.250 1
Si1 Si 0.250 0.250 0.750 1


Record 13
# PBE-GGA LaSmPuCd, optimized geometry
# Density of states at the Fermi level ... 67.41 states/eV per cell
# Size of the total moment ... 6.36 μB/f.u.
# Energy of formation ... 0.05 eV per atom
# Uncorrected energy ... -6.17 eV/atom
data_LaSmPuCd
_cell_length_a 7.832
_cell_length_b 7.832
_cell_length_c 7.832
_cell_angle_alpha 90.00
_cell_angle_beta 90.00
_cell_angle_gamma 90.00
_symmetry_space_group_name_H-M 'F -4 3 m'
_symmetry_Int_Tables_number 216
_symmetry_space_group_name_Hall 'F -4 2 3'
loop_
_atom_site_label
_atom_site_type_symbol
_atom_site_fract_x
_atom_site_fract_y
_atom_site_fract_z
_atom_site_occupancy
La1 La 0.000 0.000 0.000 1
Sm1 Sm 0.000 0.000 0.500 1
Pu1 Pu 0.250 0.250 0.750 1
Cd1 Cd 0.250 0.250 0.250 1